Density functional theory data (PBE-GGA) for crystalline Li4Pu3PN8 at its relaxed geometry.

For the volume, the calculation gives 12.006 Å³ per atom. The value obtained for the formation energy without anion corrections is -0.528 eV/atom. As for the total energy: -8.19 eV/atom. For the density of states at the Fermi level, the calculation gives 0.919 states/eV/atom.

abc: 6.3135 6.3135 6.3135
angles: 63.59 63.59 63.59
Element x y z (fractional)
Li 0.0000 0.0000 0.0000
Li 0.0000 0.5000 0.5000
Li 0.5000 0.0000 0.5000
Li 0.5000 0.5000 0.0000
Pu 0.0000 0.0000 0.5000
Pu 0.0000 0.5000 0.0000
Pu 0.5000 0.0000 0.0000
P 0.5000 0.5000 0.5000
N 0.2338 0.7365 0.7365
N 0.2390 0.2390 0.2390
N 0.2635 0.2635 0.7662
N 0.2635 0.7662 0.2635
N 0.7365 0.2338 0.7365
N 0.7365 0.7365 0.2338
N 0.7610 0.7610 0.7610
N 0.7662 0.2635 0.2635